Computed, not measured: an optimized crystal structure of KCdBr2F at the PBE-GGA level of DFT.

abc: 4.1568 7.6418 10.2447
angles: 113.06 90.00 90.00
Element x y z (fractional)
K1 0.2500 0.6312 0.4009
K2 0.7500 0.3688 0.5991
Cd1 0.2500 0.8743 0.8161
Cd2 0.7500 0.1257 0.1839
Br1 0.7500 0.9704 0.6685
Br2 0.7500 0.7650 0.9622
Br3 0.2500 0.0296 0.3315
Br4 0.2500 0.2350 0.0378
F1 0.2500 0.5841 0.6481
F2 0.7500 0.4159 0.3519

Computed properties:
**Crystal system**: monoclinic
**Relative energy among the computed polymorphs**: 0.00 kJ per mole of atoms